The following is a DFT calculation (GGA-PBE) of crystalline MnIrCl2 at its relaxed geometry.

The value obtained for the volume is 21.500 Å³ per atom. The total energy is -5.30 eV per atom. As for the uncorrected formation energy: 128 meV per atom.

It has space group Imm2 (No. 44), with a = 3.0484 Å, b = 3.9154 Å, c = 14.4105 Å, α = 90.00°, β = 90.00° and γ = 90.00°. The asymmetric unit holds Mn at (0.0000, 0.0000, 0.0000), Ir at (0.0000, 0.5000, 0.3526), Cl at (0.0000, 0.0000, 0.5743) and Cl at (0.0000, 0.5000, 0.8297).